VASP calculation (GGA-PBE) on a geometry-optimized Al2PCl structure.

Cell: 4.679 4.679 3.122 Å, 90.00 90.00 90.00°
Fractional positions:
P (0.000, 0.500, 0.500)
Al (0.000, 0.000, 0.000)
Al (0.500, 0.500, 0.000)
Cl (0.500, 0.000, 0.500)

## Properties
ΔE_f (raw)   35.5 meV/atom
Total moment   0.000 μB per formula unit
N(E_F)   0.2969 states/eV per atom

***

VASP calculation (GGA-PBE) on a geometry-optimized EuAlGa2 structure.

Cell: 3.532 3.532 6.860 Å, 90.00 90.00 90.00°
Each line ends with the local moment (μB).
Fractional positions:
Eu (0.500, 0.500, 0.500)  6.80
Al (0.500, 0.500, 0.000)  -0.01
Ga (0.000, 0.000, 0.805)  -0.03
Ga (0.000, 0.000, 0.195)  -0.03

## Properties
Total moment   6.906 μB per formula unit
N(E_F)   0.4523 states/eV per atom
DFT formation energy   -1.2 eV/f.u.

***

VASP calculation (GGA-PBE) on a geometry-optimized AlAs structure.

Cell: 10.928 10.928 4.044 Å, 90.00 90.00 90.00°
Fractional positions:
Al (0.782, 0.625, 0.500)
Al (0.218, 0.375, 0.500)
Al (0.375, 0.782, 0.500)
Al (0.625, 0.218, 0.500)
Al (0.888, 0.429, 0.000)
Al (0.112, 0.571, 0.000)
Al (0.571, 0.888, 0.000)
Al (0.429, 0.112, 0.000)
As (0.762, 0.397, 0.500)
As (0.238, 0.603, 0.500)
As (0.603, 0.762, 0.500)
As (0.397, 0.238, 0.500)
As (0.907, 0.669, 0.000)
As (0.093, 0.331, 0.000)
As (0.331, 0.907, 0.000)
As (0.669, 0.093, 0.000)

## Properties
Total moment   0.000 μB per formula unit
DFT formation energy   -0.6 eV/f.u.

***

VASP calculation (GGA-PBE) on a geometry-optimized TbNd2Dy2Y6 structure.

Cell: 6.675 6.675 12.083 Å, 101.58 101.58 129.56°
Fractional positions:
Tb (0.000, 0.000, 0.500)
Nd (0.866, 0.134, 0.000)
Nd (0.134, 0.866, 0.000)
Dy (0.294, 0.706, 0.500)
Dy (0.706, 0.294, 0.500)
Y (0.704, 0.704, 0.704)
Y (0.137, 0.443, 0.790)
Y (0.296, 0.296, 0.296)
Y (0.443, 0.137, 0.790)
Y (0.863, 0.557, 0.210)
Y (0.557, 0.863, 0.210)

## Properties
Total moment   0.000 μB per formula unit
N(E_F)   1.6902 states/eV per atom
DFT formation energy   1.6 eV/f.u.

***

VASP calculation (GGA-PBE) on a geometry-optimized Tl2CuBr6 structure.

Cell: 7.047 7.041 12.363 Å, 90.00 88.65 90.00°
Fractional positions:
Tl (0.002, 0.527, 0.813)
Tl (0.498, 0.027, 0.687)
Tl (0.502, 0.973, 0.313)
Tl (0.998, 0.473, 0.187)
Cu (0.500, 0.500, 0.000)
Cu (0.000, 0.000, 0.500)
Br (0.838, 0.739, 0.341)
Br (0.850, 0.790, 0.654)
Br (0.788, 0.693, 0.005)
Br (0.712, 0.193, 0.495)
Br (0.650, 0.290, 0.846)
Br (0.662, 0.239, 0.159)
Br (0.162, 0.261, 0.659)
Br (0.150, 0.210, 0.346)
Br (0.212, 0.307, 0.995)
Br (0.288, 0.807, 0.505)
Br (0.350, 0.710, 0.154)
Br (0.338, 0.761, 0.841)

## Properties
ΔE_f (raw)   -429.7 meV/atom
Total moment   0.000 μB per formula unit
N(E_F)   0.6258 states/eV per atom

***

VASP calculation (GGA-PBE) on a geometry-optimized MgGeCl3 structure.

Cell: 4.917 4.917 4.917 Å, 90.00 90.00 90.00°
Each line ends with the local moment (μB).
Fractional positions:
Ge (0.500, 0.500, 0.500)  0.43
Mg (0.000, 0.000, 0.000)  0.00
Cl (0.000, 0.500, 0.000)  0.00
Cl (0.000, 0.000, 0.500)  0.00
Cl (0.500, 0.000, 0.000)  -0.01

## Properties
ΔE_f (raw)   -834.9 meV/atom
Total moment   0.999 μB per formula unit
N(E_F)   0.3705 states/eV per atom

***

VASP calculation (GGA-PBE) on a geometry-optimized MnCoSb2 structure.

Cell: 3.208 3.208 7.782 Å, 90.00 90.00 90.00°
Each line ends with the local moment (μB).
Fractional positions:
Co (0.000, 0.000, 0.545)  1.51
Mn (0.500, 0.500, 0.702)  3.33
Sb (0.000, 0.000, 0.915)  -0.04
Sb (0.500, 0.500, 0.338)  0.01

## Properties
ΔE_f (raw)   68.2 meV/atom
Total moment   4.963 μB per formula unit
N(E_F)   0.6881 states/eV per atom

***

Please write out number 5 again, unchanged.
VASP calculation (GGA-PBE) on a geometry-optimized Tl2CuBr6 structure.

Cell: 7.047 7.041 12.363 Å, 90.00 88.65 90.00°
Fractional positions:
Tl (0.002, 0.527, 0.813)
Tl (0.498, 0.027, 0.687)
Tl (0.502, 0.973, 0.313)
Tl (0.998, 0.473, 0.187)
Cu (0.500, 0.500, 0.000)
Cu (0.000, 0.000, 0.500)
Br (0.838, 0.739, 0.341)
Br (0.850, 0.790, 0.654)
Br (0.788, 0.693, 0.005)
Br (0.712, 0.193, 0.495)
Br (0.650, 0.290, 0.846)
Br (0.662, 0.239, 0.159)
Br (0.162, 0.261, 0.659)
Br (0.150, 0.210, 0.346)
Br (0.212, 0.307, 0.995)
Br (0.288, 0.807, 0.505)
Br (0.350, 0.710, 0.154)
Br (0.338, 0.761, 0.841)

## Properties
ΔE_f (raw)   -429.7 meV/atom
Total moment   0.000 μB per formula unit
N(E_F)   0.6258 states/eV per atom

***

Repeat the fourth record exactly.
VASP calculation (GGA-PBE) on a geometry-optimized TbNd2Dy2Y6 structure.

Cell: 6.675 6.675 12.083 Å, 101.58 101.58 129.56°
Fractional positions:
Tb (0.000, 0.000, 0.500)
Nd (0.866, 0.134, 0.000)
Nd (0.134, 0.866, 0.000)
Dy (0.294, 0.706, 0.500)
Dy (0.706, 0.294, 0.500)
Y (0.704, 0.704, 0.704)
Y (0.137, 0.443, 0.790)
Y (0.296, 0.296, 0.296)
Y (0.443, 0.137, 0.790)
Y (0.863, 0.557, 0.210)
Y (0.557, 0.863, 0.210)

## Properties
Total moment   0.000 μB per formula unit
N(E_F)   1.6902 states/eV per atom
DFT formation energy   1.6 eV/f.u.